A relaxed RbTl crystal, computed with GGA-PBE.

Computed properties:
For the formation energy, the calculation gives 11 kJ/mol of formula units.

a b c (Å): 4.495 12.155 10.951
angles (deg): 90.00 90.00 90.00
Space group Amm2 (No. 38)
Asymmetric unit:
Rb (0.000, 0.000, 0.000)
Rb (0.000, 0.161, 0.418)
Tl (0.500, 0.000, 0.690)
Tl (0.500, 0.247, 0.671)

=====

A relaxed Er8In5H crystal, computed with GGA-PBE.

Computed properties:
The calculated total energy is -4.084 eV/atom.

a b c (Å): 8.674 8.674 9.896
angles (deg): 90.00 90.00 90.00
Space group I-4 (No. 82)
Asymmetric unit:
Er (0.041, 0.275, 0.490)
Er (0.081, 0.185, 0.128)
In (0.000, 0.500, 0.250)
In (0.113, 0.275, 0.811)
H (0.000, 0.000, 0.500)

=====

A relaxed Na2InI6 crystal, computed with GGA-PBE.

Computed properties:
The formation energy (no corrections) comes out at -564 kJ/mol of formula units.

a b c (Å): 7.415 7.415 13.841
angles (deg): 90.00 90.00 90.00
Space group P4_2/mnm (No. 136)
Asymmetric unit:
Na (0.000, 0.000, 0.167)
In (0.000, 0.000, 0.500)
I (0.192, 0.192, 0.346)
I (0.216, 0.216, 0.000)

=====

A relaxed TlSiSe2 crystal, computed with GGA-PBE.

Computed properties:
The formation energy (no corrections) comes out at 98 kJ/mol of formula units.

a b c (Å): 3.910 3.910 15.050
angles (deg): 90.00 90.00 90.00
Space group I-4m2 (No. 119)
Asymmetric unit:
Tl (0.000, 0.000, 0.000)
Si (0.000, 0.500, 0.250)
Se (0.000, 0.000, 0.500)
Se (0.000, 0.500, 0.750)

=====

A relaxed KGaC crystal, computed with GGA-PBE.

Computed properties:
For the formation energy, the calculation gives 182 kJ/mol of formula units.

a b c (Å): 10.085 5.666 5.944
angles (deg): 90.00 90.00 90.00
Space group Pnma (No. 62)
Asymmetric unit:
K (0.155, 0.250, 0.013)
Ga (0.000, 0.000, 0.500)
C (0.067, 0.750, 0.329)

=====

A relaxed LaDyErZn crystal, computed with GGA-PBE.

Computed properties:
For the formation energy, the calculation gives -60 kJ/mol of formula units.

a b c (Å): 3.587 3.587 8.802
angles (deg): 90.00 90.00 90.00
Space group P4mm (No. 99)
Asymmetric unit:
La (0.000, 0.000, 0.000)
Dy (0.500, 0.500, 0.696)
Er (0.500, 0.500, 0.300)
Zn (0.000, 0.000, 0.495)

=====

A relaxed PmSmTlGe crystal, computed with GGA-PBE.

Computed properties:
For the formation energy, the calculation gives -176 kJ/mol of formula units.

a b c (Å): 7.530 7.530 7.530
angles (deg): 90.00 90.00 90.00
Space group F-43m (No. 216)
Asymmetric unit:
Pm (0.000, 0.000, 0.000)
Sm (0.000, 0.000, 0.500)
Tl (0.250, 0.250, 0.750)
Ge (0.250, 0.250, 0.250)

=====

A relaxed SiTePtPb2 crystal, computed with GGA-PBE.

Computed properties:
The formation energy (no corrections) comes out at 429 kJ/mol of formula units.

a b c (Å): 6.023 6.023 4.852
angles (deg): 90.00 90.00 90.00
Space group P4/mmm (No. 123)
Asymmetric unit:
Si (0.000, 0.000, 0.000)
Te (0.500, 0.500, 0.500)
Pt (0.500, 0.500, 0.000)
Pb (0.000, 0.500, 0.500)

=====

Number 1: magnetization 0.0 μB per formula unit. Number 2: magnetization 0.0 μB per formula unit. Number 3: magnetization 0.0 μB per formula unit. Number 4: magnetization 0.0 μB per formula unit. Number 5: magnetization 0.0 μB per formula unit. Number 6: magnetization 0.0 μB per formula unit. Number 7: magnetization 0.0 μB per formula unit. Number 8: magnetization 0.0 μB per formula unit.